A relaxed BaFe2N2 crystal, computed with PBE.

Results
- total magnetic moment (μB per atom) = 0.0000
- ΔE_f (raw) (eV/f.u.) = -1.4
- E_tot (eV per atom) = -7.3850
- relative energy among the computed polymorphs (meV/atom) = 0

Unit cell a=6.389 b=6.089 c=9.440 alpha=90.00 beta=42.37 gamma=61.54
Sites, in units of the cell vectors:
Fe: 0.269 0.500 0.366
N: 0.319 0.181 0.341
Fe: 0.731 0.769 0.134
Ba: 0.000 0.000 0.750
Fe: 0.269 0.231 0.866
N: 0.681 0.500 0.159
Fe: 0.731 0.500 0.634
Ba: 0.000 0.000 0.250
N: 0.681 0.819 0.659
N: 0.319 0.500 0.841

A relaxed BaFe3N crystal, computed with PBE.

Results
- total magnetic moment (μB per atom) = 0.0000
- ΔE_f (raw) (eV/f.u.) = 4.2
- E_tot (eV per atom) = -6.2922
- relative energy among the computed polymorphs (meV/atom) = 0

Unit cell a=4.058 b=4.058 c=4.058 alpha=90.00 beta=90.00 gamma=90.00
Sites, in units of the cell vectors:
Fe: 0.000 0.000 0.500
Ba: 0.500 0.500 0.500
Fe: 0.000 0.500 0.000
Fe: 0.500 0.000 0.000
N: 0.000 0.000 0.000

A relaxed BaFe2N2 crystal, computed with PBE.

Results
- total magnetic moment (μB per atom) = 0.8384
- ΔE_f (raw) (eV/f.u.) = -0.2
- E_tot (eV per atom) = -7.1490
- relative energy among the computed polymorphs (meV/atom) = 236

Unit cell a=3.433 b=3.433 c=6.685 alpha=90.00 beta=90.00 gamma=120.00
Site moments in Bohr magnetons follow the coordinates.
Sites, in units of the cell vectors:
Fe: 0.667 0.333 0.606  2.02
Ba: 0.000 0.000 0.000  0.01
N: 0.667 0.333 0.318  0.00
N: 0.333 0.667 0.682  0.00
Fe: 0.333 0.667 0.394  2.02

Look up the relative energy among the computed polymorphs of the first one. 0 meV/atom